(1)
A geometry-optimized Tl2W structure. Source: Alexandria via LeMat-Bulk, functional PBE-GGA.

Lattice parameters (Å, degrees): 5.788 5.788 5.788 148.80 138.81 52.57
Positions (direct):
Tl 0.153 0.153 0.000
Tl 0.847 0.847 0.000
W 0.500 0.500 0.000

Energy above the most stable polymorph in this dataset in meV/atom: 550
SG: Immm, No. 71

=====

(2)
A geometry-optimized CaSmPtAu structure. Source: Alexandria via LeMat-Bulk, functional PBE-GGA.

Lattice parameters (Å, degrees): 5.071 5.071 5.071 60.00 60.00 60.00
Positions (direct):
Ca 0.000 0.000 0.000
Sm 0.500 0.500 0.500
Pt 0.750 0.750 0.750
Au 0.250 0.250 0.250

Energy above the most stable polymorph in this dataset in meV/atom: 37
SG: F-43m, No. 216

=====

(3)
A geometry-optimized CaRe4Rh2 structure. Source: Alexandria via LeMat-Bulk, functional PBE-GGA.

Lattice parameters (Å, degrees): 7.166 7.166 7.166 142.98 142.98 53.35
Positions (direct):
Ca 0.000 0.000 0.000
Re 0.000 0.500 0.500
Re 0.206 0.206 0.000
Re 0.500 0.000 0.500
Re 0.794 0.794 0.000
Rh 0.388 0.388 0.000
Rh 0.612 0.612 0.000

SG: I4/mmm, No. 139

=====

Results for energy relative to the elements: 1178; -915; 2473 (in meV per atom, following the order of the records).
Results for total DFT energy (no corrections): -14.15; -19.70; -49.18 (in eV/cell, following the order of the records).